[1]
## NaTiAs2Se (GGA-PBE)

Data for NaTiAs2Se after structural relaxation.

## Properties
D(E_F) ... 3.488 states/eV/f.u.
Space group ... No. 123
Energy relative to the lowest polymorph listed for this composition ... 0.0 meV/atom

```
NaTiAs2Se
1.0
4.9301 0.0000 0.0000
0.0000 4.9301 0.0000
0.0000 0.0000 5.0511
Na Ti As Se
1 1 2 1
direct
0.0000 0.0000 0.0000
0.5000 0.5000 0.5000
0.0000 0.5000 0.5000
0.5000 0.0000 0.5000
0.5000 0.5000 0.0000
```

[2]
## AsRu (GGA-PBE)

Data for AsRu after structural relaxation.

## Properties
D(E_F) ... 1.773 states/eV/f.u.
DFT formation energy ... 2.1 kJ/mol of atoms
Space group ... No. 164

```
AsRu
1.0
2.9429 0.0000 0.0000
-1.4714 2.5486 0.0000
0.0000 0.0000 9.5641
As Ru
2 2
direct
0.3333 0.6667 0.1953
0.6667 0.3333 0.8047
0.3333 0.6667 0.6151
0.6667 0.3333 0.3849
```

[3]
## PuTl2InSe4 (GGA-PBE)

Data for PuTl2InSe4 after structural relaxation.

## Properties
D(E_F) ... 10.488 states/eV/f.u.
Electronic total energy ... -83.42 eV for the cell shown
Space group ... No. 74

```
PuTl2InSe4
1.0
-4.3099 4.3592 6.1945
4.3099 -4.3592 6.1945
4.3099 4.3592 -6.1945
Pu Tl In Se
2 4 2 8
direct
0.0000 0.0000 0.0000
0.5000 0.0000 0.5000
0.0000 0.5000 0.5000
0.5000 0.0000 0.0000
0.5000 0.5000 0.0000
0.5000 0.5000 0.5000
0.0000 0.0000 0.5000
0.0000 0.5000 0.0000
0.2053 0.2372 0.9681
0.2309 0.7628 0.4681
0.2351 0.2068 0.4717
0.2351 0.7635 0.0283
0.7649 0.2365 0.9717
0.7649 0.7932 0.5283
0.7691 0.2372 0.5319
0.7947 0.7628 0.0319
```

[4]
## Er2TmSc9 (GGA-PBE)

Data for Er2TmSc9 after structural relaxation.

## Properties
D(E_F) ... 22.312 states/eV/f.u.
DFT formation energy ... 7.2 kJ/mol of atoms
Space group ... No. 191

```
Er2TmSc9
1.0
10.4699 0.0000 0.0000
-5.2349 9.0672 0.0000
0.0000 0.0000 3.2731
Er Tm Sc
2 1 9
direct
0.3333 0.6667 0.0000
0.6667 0.3333 0.0000
0.0000 0.0000 0.0000
0.0000 0.5000 0.0000
0.1750 0.3501 0.5000
0.1750 0.8250 0.5000
0.3501 0.1750 0.5000
0.5000 0.0000 0.0000
0.5000 0.5000 0.0000
0.6499 0.8250 0.5000
0.8250 0.1750 0.5000
0.8250 0.6499 0.5000
```

[5]
## GdGeH (GGA-PBE)

Data for GdGeH after structural relaxation.

## Properties
D(E_F) ... 0.678 states/eV/f.u.
Space group ... No. 156
Energy relative to the lowest polymorph listed for this composition ... 0.0 meV/atom

```
GdGeH
1.0
3.6321 0.0000 0.0000
-1.8161 3.1455 0.0000
0.0000 0.0000 4.7221
Gd Ge H
1 1 1
direct
0.0000 0.0000 0.0000
0.6667 0.3333 0.4999
0.3333 0.6667 0.9987
```

[6]
## TlCdIO6 (GGA-PBE)

Data for TlCdIO6 after structural relaxation.

## Properties
D(E_F) ... 2.751 states/eV/f.u.
Electronic total energy ... -79.04 eV for the cell shown
Space group ... No. 163

```
TlCdIO6
1.0
5.5622 0.0000 0.0000
-2.7811 4.8170 0.0000
0.0000 0.0000 9.4248
Tl Cd I O
2 2 2 12
direct
0.3333 0.6667 0.2500
0.6667 0.3333 0.7500
0.0000 0.0000 0.0000
0.0000 0.0000 0.5000
0.3333 0.6667 0.7500
0.6667 0.3333 0.2500
0.0485 0.3852 0.6334
0.0485 0.6633 0.8666
0.3367 0.3852 0.8666
0.3367 0.9515 0.6334
0.3852 0.0485 0.1334
0.3852 0.3367 0.3666
0.6148 0.6633 0.6334
0.6148 0.9515 0.8666
0.6633 0.0485 0.3666
0.6633 0.6148 0.1334
0.9515 0.3367 0.1334
0.9515 0.6148 0.3666
```

[7]
## Eu2DyAg (GGA-PBE)

Data for Eu2DyAg after structural relaxation.

## Properties
D(E_F) ... 4.528 states/eV/f.u.
DFT formation energy ... 18.8 kJ/mol of atoms
Space group ... No. 166
Energy relative to the lowest polymorph listed for this composition ... 258.6 meV/atom

```
Eu2DyAg
1.0
1.7978 1.0380 11.7356
-1.7978 1.0380 11.7356
0.0000 -2.0759 11.7356
Eu Dy Ag
2 1 1
direct
0.0973 0.0973 0.0973
0.9027 0.9027 0.9027
0.0000 0.0000 0.0000
0.5000 0.5000 0.5000
```

[8]
## Nd3SbH (GGA-PBE)

Data for Nd3SbH after structural relaxation.

## Properties
D(E_F) ... 4.406 states/eV/f.u.
Space group ... No. 221
Energy relative to the lowest polymorph listed for this composition ... 0.0 meV/atom

```
Nd3SbH
1.0
4.9569 0.0000 0.0000
0.0000 4.9569 0.0000
0.0000 0.0000 4.9569
Nd Sb H
3 1 1
direct
0.0000 0.0000 0.5000
0.0000 0.5000 0.0000
0.5000 0.0000 0.0000
0.5000 0.5000 0.5000
0.0000 0.0000 0.0000
```

[9]
## PuMgBi3 (GGA-PBE)

Data for PuMgBi3 after structural relaxation.

## Properties
D(E_F) ... 12.801 states/eV/f.u.
DFT formation energy ... -22.5 kJ/mol of atoms
Space group ... No. 57

```
PuMgBi3
1.0
13.5330 0.0000 0.0000
0.0000 6.4463 0.0000
0.0000 0.0000 6.6381
Pu Mg Bi
4 4 12
direct
0.1860 0.0027 0.2500
0.1860 0.4973 0.7500
0.8140 0.5027 0.2500
0.8140 0.9973 0.7500
0.3854 0.7500 0.0000
0.3854 0.7500 0.5000
0.6146 0.2500 0.0000
0.6146 0.2500 0.5000
0.0032 0.7500 0.0000
0.0032 0.7500 0.5000
0.2314 0.0017 0.7500
0.2314 0.4983 0.2500
0.4209 0.1752 0.2500
0.4209 0.3248 0.7500
0.5791 0.6752 0.2500
0.5791 0.8248 0.7500
0.7686 0.5017 0.7500
0.7686 0.9983 0.2500
0.9968 0.2500 0.0000
0.9968 0.2500 0.5000
```

[10]
## Nd2Dy5ErSc (GGA-PBE)

Data for Nd2Dy5ErSc after structural relaxation.

## Properties
D(E_F) ... 12.838 states/eV/f.u.
DFT formation energy ... 14.7 kJ/mol of atoms
Space group ... No. 36

```
Nd2Dy5ErSc
1.0
2.7698 -10.0495 0.0000
2.7698 10.0495 0.0000
0.0000 0.0000 10.3608
Nd Dy Er Sc
4 10 2 2
direct
0.1132 0.8868 0.5000
0.1153 0.8847 0.9219
0.8847 0.1153 0.4219
0.8868 0.1132 0.0000
0.0156 0.9844 0.2022
0.2744 0.7256 0.5070
0.2985 0.7015 0.8885
0.3738 0.6262 0.2061
0.4833 0.5167 0.9283
0.5167 0.4833 0.4283
0.6262 0.3738 0.7061
0.7015 0.2985 0.3885
0.7256 0.2744 0.0070
0.9844 0.0156 0.7022
0.4066 0.5934 0.6461
0.5934 0.4066 0.1461
0.1951 0.8049 0.2010
0.8049 0.1951 0.7010
```

[11]
## LiPmGe2 (GGA-PBE)

Data for LiPmGe2 after structural relaxation.

## Properties
D(E_F) ... 0.970 states/eV/f.u.
DFT formation energy ... -51.3 kJ/mol of atoms
Space group ... No. 123
Energy relative to the lowest polymorph listed for this composition ... 132.9 meV/atom

```
LiPmGe2
1.0
4.3785 0.0000 0.0000
0.0000 4.3785 0.0000
0.0000 0.0000 4.2745
Li Pm Ge
1 1 2
direct
0.0000 0.0000 0.0000
0.5000 0.5000 0.0000
0.0000 0.5000 0.5000
0.5000 0.0000 0.5000
```

[12]
## Cd5Pd2Au (GGA-PBE)

Data for Cd5Pd2Au after structural relaxation.

## Properties
D(E_F) ... 4.108 states/eV/f.u.
DFT formation energy ... -15.0 kJ/mol of atoms
Space group ... No. 194

```
Cd5Pd2Au
1.0
4.6272 0.0000 0.0000
-2.3136 4.0073 0.0000
0.0000 0.0000 18.4720
Cd Pd Au
10 4 2
direct
0.0000 0.0000 0.1516
0.0000 0.0000 0.3484
0.0000 0.0000 0.6516
0.0000 0.0000 0.8484
0.3333 0.6667 0.0497
0.3333 0.6667 0.2500
0.3333 0.6667 0.4503
0.6667 0.3333 0.5497
0.6667 0.3333 0.7500
0.6667 0.3333 0.9503
0.3333 0.6667 0.6004
0.3333 0.6667 0.8996
0.6667 0.3333 0.1004
0.6667 0.3333 0.3996
0.3333 0.6667 0.7500
0.6667 0.3333 0.2500
```